Density functional theory data (PBE with a Hubbard U) for a geometry-optimized BaV2PdO8 structure.

a = 5.261 Å, b = 5.261 Å, c = 7.539 Å
α = 90.00°, β = 90.00°, γ = 120.00°
Fractional coordinates of all 12 atoms:
Ba (0.000, 0.000, 0.000)
V (0.667, 0.333, 0.279)
V (0.333, 0.667, 0.721)
Pd (0.000, 0.000, 0.500)
O (0.333, 0.667, 0.945)
O (0.316, 0.276, 0.336)
O (0.724, 0.040, 0.336)
O (0.667, 0.333, 0.055)
O (0.276, 0.960, 0.664)
O (0.684, 0.724, 0.664)
O (0.040, 0.316, 0.664)
O (0.960, 0.684, 0.336)

Calculated values
Energy in eV per atom: -6.85
Space-group type: P-3 (147)
Size of the total moment in μB/atom: 0.00